No. 1
! BeCdPt2, relaxed, DFT PBE; values from VASP
&SYSTEM
  ibrav = 0, nat = 4, ntyp = 3
/
ATOMIC_SPECIES
Pt 195.08 Pt.upf
Be 9.01 Be.upf
Cd 112.41 Cd.upf
CELL_PARAMETERS angstrom
5.374 -0.006 -0.019
4.568 2.830 -0.019
1.888 0.536 3.978
ATOMIC_POSITIONS crystal
Pt 0.202 0.202 0.331
Pt 0.989 0.989 0.029
Be 0.526 0.526 0.392
Cd 0.784 0.784 0.747
! Formation energy   -0.29 eV/atom
! Space group   Cm, No. 8

=====

No. 2
! NaNd2UO6, relaxed, DFT PBE; values from VASP
&SYSTEM
  ibrav = 0, nat = 10, ntyp = 4
/
ATOMIC_SPECIES
O 16.00 O.upf
Nd 144.24 Nd.upf
Na 22.99 Na.upf
U 238.03 U.upf
CELL_PARAMETERS angstrom
6.017 0.000 0.000
3.008 5.210 0.000
3.008 1.737 5.158
ATOMIC_POSITIONS crystal
O 0.592 0.219 0.239
O 0.950 0.592 0.239
O 0.682 0.141 0.774
O 0.141 0.403 0.774
O 0.403 0.682 0.774
O 0.219 0.950 0.239
Nd 0.531 0.531 0.406
Nd 0.024 0.024 0.929
Na 0.803 0.803 0.592
U 0.317 0.317 0.049
! Formation energy (no corrections)   -297 kJ per mole of atoms
! Space group   R3, No. 146

=====

No. 3
! Mn3Pd12Pt, relaxed, DFT PBE; values from VASP
&SYSTEM
  ibrav = 0, nat = 16, ntyp = 3
/
ATOMIC_SPECIES
Pd 106.42 Pd.upf
Mn 54.94 Mn.upf
Pt 195.08 Pt.upf
CELL_PARAMETERS angstrom
-2.490 2.651 -1.477
-3.023 -2.000 1.507
1.067 8.415 13.304
ATOMIC_POSITIONS crystal
Pd 0.000 0.500 0.624
Pd 0.000 0.500 0.872
Pd 0.500 0.000 0.376
Pd 0.500 0.500 0.500
Pd 0.000 0.500 0.376
Pd 0.500 0.000 0.128
Pd 0.500 0.500 0.748
Pd 0.000 0.500 0.128
Pd 0.500 0.000 0.872
Pd 0.500 0.500 0.252
Pd 0.500 0.000 0.624
Pd 0.500 0.500 0.000
Mn 0.000 0.000 0.252
Mn 0.000 0.000 0.748
Mn 0.000 0.000 0.500
Pt 0.000 0.000 0.000
! Formation energy   -0.17 eV/atom
! Space group   P4/mmm, No. 123

=====

No. 4
! SmGa4Pt2, relaxed, DFT PBE; values from VASP
&SYSTEM
  ibrav = 0, nat = 28, ntyp = 3
/
ATOMIC_SPECIES
Ga 69.72 Ga.upf
Sm 150.36 Sm.upf
Pt 195.08 Pt.upf
CELL_PARAMETERS angstrom
4.332 0.000 0.000
0.000 6.666 0.000
0.000 0.000 17.503
ATOMIC_POSITIONS crystal
Ga 0.750 0.319 0.316
Ga 0.750 0.181 0.816
Ga 0.750 0.513 0.570
Ga 0.250 0.013 0.930
Ga 0.250 0.681 0.684
Ga 0.250 0.819 0.184
Ga 0.750 0.774 0.811
Ga 0.750 0.987 0.070
Ga 0.750 0.726 0.311
Ga 0.250 0.154 0.537
Ga 0.250 0.274 0.689
Ga 0.250 0.226 0.189
Ga 0.750 0.846 0.463
Ga 0.750 0.654 0.963
Ga 0.250 0.487 0.430
Ga 0.250 0.346 0.037
Sm 0.750 0.511 0.141
Sm 0.250 0.011 0.359
Sm 0.750 0.989 0.641
Sm 0.250 0.489 0.859
Pt 0.750 0.474 0.716
Pt 0.250 0.526 0.284
Pt 0.250 0.751 0.036
Pt 0.250 0.974 0.784
Pt 0.750 0.026 0.216
Pt 0.750 0.249 0.964
Pt 0.250 0.749 0.536
Pt 0.750 0.251 0.464
! Formation energy   -0.82 eV/atom
! Space group   Pnma, No. 62

=====

no.,mass density (g cm⁻³)
1,14.0
2,6.6
3,11.2
4,10.8